# CdHg2Mo

Crystalline CdHg2Mo at its relaxed geometry (PBE-GGA, Alexandria).

Unit cell a=4.1658 b=4.1658 c=10.5856 alpha=78.65 beta=78.65 gamma=90.00
Last column: nearest neighbours and their distance in Å.
Fractional positions:
Hg1 0.3750 0.3839 0.7500  4 Hg 2.89-3.00, 2 Mo 2.92, 2 Cd 2.95
Hg2 0.6161 0.1250 0.2500  4 Hg 2.89-3.00, 2 Mo 2.92, 2 Cd 2.95
Hg3 0.1339 0.6250 0.2500  4 Hg 2.89-3.00, 2 Mo 2.92, 2 Cd 2.95
Hg4 0.8750 0.8661 0.7500  4 Hg 2.89-3.00, 2 Mo 2.92, 2 Cd 2.95
Cd1 0.0000 0.0000 0.0000  4 Mo 2.95, 4 Hg 2.95
Cd2 0.7500 0.2500 0.5000  4 Mo 2.95, 4 Hg 2.95
Mo1 0.2500 0.7500 0.5000  4 Hg 2.92, 4 Cd 2.95
Mo2 0.5000 0.5000 0.0000  4 Hg 2.92, 4 Cd 2.95

DOS at the Fermi energy	5.5	states/eV/cell
formation energy	0.7737	eV/atom
VASP energy	-2.314	eV per atom

=====

# CdHg2Mo

Crystalline CdHg2Mo at its relaxed geometry (PBE-GGA, Alexandria).

Unit cell a=2.9622 b=4.3368 c=6.1941 alpha=90.00 beta=90.00 gamma=90.00
Last column: nearest neighbours and their distance in Å.
Fractional positions:
Hg1 0.0000 0.0000 0.4862  4 Hg 2.93-3.27, 4 Mo 3.01, 4 Cd 3.09
Hg2 0.0000 0.0000 0.0138  4 Hg 2.93-3.27, 4 Mo 3.01, 4 Cd 3.09
Cd1 0.5000 0.5000 0.7500  2 Cd 2.96, 8 Hg 3.09, 2 Mo 3.10
Mo1 0.5000 0.5000 0.2500  2 Mo 2.96, 8 Hg 3.01, 2 Cd 3.10

DOS at the Fermi energy	3.3	states/eV/cell
formation energy	0.5337	eV/atom
VASP energy	-2.554	eV per atom

=====

# CdHg2Mo

Crystalline CdHg2Mo at its relaxed geometry (PBE-GGA, Alexandria).

Unit cell a=4.8395 b=2.9658 c=5.6425 alpha=86.58 beta=90.00 gamma=90.00
Last column: nearest neighbours and their distance in Å.
Fractional positions:
Hg1 0.0000 0.9522 0.0145  3 Hg 2.85-2.97, 2 Mo 2.92, 2 Cd 2.92
Hg2 0.0000 0.5478 0.4855  3 Hg 2.85-2.97, 2 Mo 2.92, 2 Cd 2.92
Cd1 0.5000 0.7500 0.7500  4 Hg 2.92, 2 Cd 2.97, 4 Mo 3.11-3.26
Mo1 0.5000 0.2500 0.2500  4 Hg 2.92, 2 Mo 2.97, 4 Cd 3.11-3.26

DOS at the Fermi energy	2.5	states/eV/cell
formation energy	0.5474	eV/atom
VASP energy	-2.540	eV per atom

=====

# CdHg2Mo

Crystalline CdHg2Mo at its relaxed geometry (PBE-GGA, Alexandria).

Unit cell a=5.7854 b=5.7854 c=5.3494 alpha=63.92 beta=63.92 gamma=29.81
Last column: nearest neighbours and their distance in Å.
Fractional positions:
Hg1 0.7595 0.7595 0.6476  5 Hg 2.98-3.15, 3 Mo 2.99-3.01, 4 Cd 3.05-3.08
Hg2 0.9991 0.9991 0.0823  3 Cd 2.94-3.10, 4 Mo 2.97-3.15, 5 Hg 2.98-3.15
Cd1 0.2400 0.2400 0.1699  7 Hg 2.94-3.10, 2 Cd 2.98, 3 Mo 3.01-3.12
Mo1 0.5014 0.5014 0.6002  7 Hg 2.97-3.15, 2 Mo 2.98, 3 Cd 3.01-3.12

DOS at the Fermi energy	1.7	states/eV/cell
formation energy	0.4328	eV/atom
VASP energy	-2.655	eV per atom

=====

# CdHg2Mo

Crystalline CdHg2Mo at its relaxed geometry (PBE-GGA, Alexandria).

Unit cell a=5.5244 b=5.5244 c=5.5244 alpha=135.57 beta=135.57 gamma=64.65
Last column: nearest neighbours and their distance in Å.
Fractional positions:
Cd1 0.7500 0.2500 0.5000  8 Hg 2.95-3.13, 4 Mo 3.13
Hg1 0.0000 0.0000 0.0000  4 Mo 2.95, 4 Cd 3.13, 4 Hg 3.13
Hg2 0.2500 0.7500 0.5000  4 Cd 2.95, 4 Hg 3.13, 4 Mo 3.13
Mo1 0.5000 0.5000 0.0000  8 Hg 2.95-3.13, 4 Cd 3.13

DOS at the Fermi energy	3.4	states/eV/cell
formation energy	0.6135	eV/atom
VASP energy	-2.474	eV per atom

=====

# CdHg2Mo

Crystalline CdHg2Mo at its relaxed geometry (PBE-GGA, Alexandria).

Unit cell a=5.2377 b=5.2377 c=5.5354 alpha=79.51 beta=79.51 gamma=32.69
Last column: nearest neighbours and their distance in Å.
Fractional positions:
Cd1 0.2500 0.2500 0.2500  2 Cd 2.95, 6 Hg 3.08-3.09, 4 Mo 3.14
Hg1 0.0055 0.0055 0.9849  6 Hg 2.95-3.27, 3 Mo 2.95-3.09, 3 Cd 3.08-3.09
Hg2 0.4945 0.4945 0.5151  6 Hg 2.95-3.27, 3 Mo 2.95-3.09, 3 Cd 3.08-3.09
Mo1 0.7500 0.7500 0.7500  2 Mo 2.95, 6 Hg 2.95-3.09, 4 Cd 3.14

DOS at the Fermi energy	2.8	states/eV/cell
formation energy	0.5141	eV/atom
VASP energy	-2.573	eV per atom

=====

# CdHg2Mo

Crystalline CdHg2Mo at its relaxed geometry (PBE-GGA, Alexandria).

Unit cell a=10.3973 b=10.3973 c=10.3973 alpha=16.86 beta=16.86 gamma=16.86
Last column: nearest neighbours and their distance in Å.
Fractional positions:
Mo1 0.4996 0.4996 0.4996  3 Cd 2.93, 3 Hg 2.93, 6 Mo 3.05
Hg1 0.2426 0.2426 0.2426  3 Mo 2.93, 6 Hg 3.05
Hg2 0.0013 0.0013 0.0013  9 Hg 3.05-3.33, 3 Cd 3.24
Cd1 0.7566 0.7566 0.7566  3 Mo 2.93, 6 Cd 3.05, 3 Hg 3.24

DOS at the Fermi energy	3.2	states/eV/cell
formation energy	0.4401	eV/atom
VASP energy	-2.647	eV per atom

=====

# CdHg3Mo

Crystalline CdHg3Mo at its relaxed geometry (PBE-GGA, Alexandria).

Unit cell a=5.5291 b=5.5291 c=5.5291 alpha=90.00 beta=90.00 gamma=90.00
Last column: nearest neighbours and their distance in Å.
Fractional positions:
Mo1 0.0000 0.0000 0.0000  6 Hg 2.76
Cd1 0.5000 0.5000 0.5000  12 Hg 3.91
Hg1 0.0000 0.5000 0.0000  2 Mo 2.76
Hg2 0.5000 0.0000 0.0000  2 Mo 2.76
Hg3 0.0000 0.0000 0.5000  2 Mo 2.76

DOS at the Fermi energy	3.0	states/eV/cell
polymorph energy (0 for the lowest one)	0	meV/atom
formation energy	0.7901	eV/atom
VASP energy	-1.740	eV per atom

=====

# CdHg2Mo

Crystalline CdHg2Mo at its relaxed geometry (PBE-GGA, Alexandria).

Unit cell a=2.9427 b=2.9427 c=9.8459 alpha=90.00 beta=90.00 gamma=108.67
Last column: nearest neighbours and their distance in Å.
Fractional positions:
Cd1 0.5000 0.5000 0.7500  4 Cd 2.94, 4 Hg 3.11
Mo1 0.5000 0.5000 0.2500  4 Hg 2.89, 4 Mo 2.94
Hg1 0.0000 0.0000 0.0137  2 Mo 2.89, 4 Hg 2.94, 2 Cd 3.11
Hg2 0.0000 0.0000 0.4863  2 Mo 2.89, 4 Hg 2.94, 2 Cd 3.11

DOS at the Fermi energy	2.2	states/eV/cell
formation energy	0.4760	eV/atom
VASP energy	-2.611	eV per atom

=====

# CdHg2Mo

Crystalline CdHg2Mo at its relaxed geometry (PBE-GGA, Alexandria).

Unit cell a=10.2020 b=10.2020 c=10.2020 alpha=17.20 beta=17.20 gamma=17.20
Last column: nearest neighbours and their distance in Å.
Fractional positions:
Cd1 0.7500 0.7500 0.7500  6 Cd 3.05, 6 Hg 3.21
Mo1 0.2500 0.2500 0.2500  6 Hg 2.93, 6 Mo 3.05
Hg1 0.9944 0.9944 0.9944  3 Mo 2.93, 6 Hg 3.05, 3 Cd 3.21
Hg2 0.5056 0.5056 0.5056  3 Mo 2.93, 6 Hg 3.05, 3 Cd 3.21

DOS at the Fermi energy	3.0	states/eV/cell
formation energy	0.4563	eV/atom
VASP energy	-2.631	eV per atom

=====

# Cd3HgMo

Crystalline Cd3HgMo at its relaxed geometry (PBE-GGA, Alexandria).

Unit cell a=5.5361 b=5.5361 c=5.5361 alpha=90.00 beta=90.00 gamma=90.00
Last column: nearest neighbours and their distance in Å.
Fractional positions:
Hg1 0.5000 0.5000 0.5000  12 Cd 3.91
Mo1 0.0000 0.0000 0.0000  6 Cd 2.77
Cd1 0.5000 0.0000 0.0000  2 Mo 2.77
Cd2 0.0000 0.0000 0.5000  2 Mo 2.77
Cd3 0.0000 0.5000 0.0000  2 Mo 2.77

DOS at the Fermi energy	3.4	states/eV/cell
polymorph energy (0 for the lowest one)	0	meV/atom
formation energy	0.8868	eV/atom
VASP energy	-1.889	eV per atom

=====

# Cd3HgMo

Crystalline Cd3HgMo at its relaxed geometry (PBE-GGA, Alexandria).

Unit cell a=5.3220 b=5.3220 c=5.3220 alpha=90.00 beta=90.00 gamma=90.00
Last column: nearest neighbours and their distance in Å.
Fractional positions:
Mo1 0.5000 0.5000 0.5000  12 Cd 3.76
Cd1 0.5000 0.0000 0.0000  2 Hg 2.66
Cd2 0.0000 0.0000 0.5000  2 Hg 2.66
Cd3 0.0000 0.5000 0.0000  2 Hg 2.66
Hg1 0.0000 0.0000 0.0000  6 Cd 2.66

DOS at the Fermi energy	2.7	states/eV/cell
polymorph energy (0 for the lowest one)	278	meV/atom
formation energy	1.1648	eV/atom
VASP energy	-1.611	eV per atom

=====

Q: Look up the formation energy of the second one.
A: 0.5337 eV/atom

=====

Q: Which value of formation energy does entry 12 give?
A: 1.1648 eV/atom

=====

Q: Which formula does entry 9 have?
A: CdHg2Mo

=====

Q: Which of these has the lowest VASP energy?
A: number 4